(1)
Density functional theory data (PBE) for crystalline DyZrAg4 at its relaxed geometry.

## Properties
The formation energy comes out at -0.1879 eV per atom. As for the total energy: -4.262 eV/atom. As for the crystal system: tetragonal.

Structure (POSCAR):
```
DyZrAg4
1.0
3.6467 0.0000 0.0000
0.0000 3.6467 0.0000
0.0000 0.0000 9.1659
Ag Dy Zr
4 1 1
Direct
0.5000 0.5000 0.1766
0.0000 0.0000 0.3350
0.0000 0.0000 0.6650
0.5000 0.5000 0.8234
0.0000 0.0000 0.0000
0.5000 0.5000 0.5000
```

---

(2)
Density functional theory data (PBE) for crystalline NdCuPd at its relaxed geometry.

## Properties
The formation energy comes out at -0.3278 eV per atom. The energy above the lowest structure with this stoichiometry comes out at 0.0 meV/atom. As for the total energy: -4.880 eV/atom. As for the crystal system: cubic.

Structure (POSCAR):
```
NdCuPd
1.0
0.0000 3.2670 3.2670
3.2670 0.0000 3.2670
3.2670 3.2670 0.0000
Cu Nd Pd
1 1 1
Direct
0.2500 0.2500 0.2500
0.7500 0.7500 0.7500
0.0000 0.0000 0.0000
```

---

(3)
Density functional theory data (PBE) for crystalline BaPIrO at its relaxed geometry.

## Properties
The energy above the lowest structure with this stoichiometry comes out at 364.4 meV/atom. As for the total energy: -6.214 eV/atom. As for the crystal system: orthorhombic.

Structure (POSCAR):
```
BaPIrO
1.0
3.9789 0.0000 0.0000
0.0000 5.2993 0.0000
0.0000 0.0000 7.7053
Ba Ir O P
2 2 2 2
Direct
0.5000 0.3311 0.1014
0.5000 0.6689 0.6014
0.0000 0.1452 0.4606
0.0000 0.8548 0.9606
0.5000 0.2365 0.4344
0.5000 0.7635 0.9344
0.0000 0.8347 0.2575
0.0000 0.1653 0.7575
```

---

(4)
Density functional theory data (PBE) for crystalline ZnCoPbS3 at its relaxed geometry.

## Properties
The energy above the lowest structure with this stoichiometry comes out at 15.2 meV/atom. As for the total energy: -4.353 eV/atom. As for the crystal system: orthorhombic.

Structure (POSCAR):
```
ZnCoPbS3
1.0
3.7101 0.0000 0.0000
1.8551 6.5613 0.0000
0.0000 0.0000 9.1820
Co Pb S Zn
2 2 6 2
Direct
0.0000 0.0000 0.0000
0.0000 0.0000 0.5000
0.2492 0.5016 0.2500
0.7508 0.4984 0.7500
0.6210 0.7580 0.0358
0.9284 0.1431 0.2500
0.6210 0.7580 0.4642
0.3790 0.2420 0.5358
0.0716 0.8569 0.7500
0.3790 0.2420 0.9642
0.5329 0.9341 0.2500
0.4671 0.0659 0.7500
```